No. 1
SrTb2Pd: relaxed, PBE.

Space group   R-3m, No. 166
Formation energy from the elements   -0.288 eV/atom

a = 4.1535 Å, b = 4.1535 Å, c = 9.9701 Å
α = 77.98°, β = 77.98°, γ = 60.00°
With the nearest neighbours (Å) after each atom.
Positions (direct):
Sr1 0.5000 0.5000 0.5000  6 Tb 4.12, 6 Sr 4.15
Tb1 0.2821 0.2821 0.1538  3 Pd 2.82
Tb2 0.7179 0.7179 0.8462  3 Pd 2.82
Pd1 0.0000 0.0000 0.0000  6 Tb 2.82


No. 2
CaZnHg2: relaxed, PBE.

Space group   C2/m, No. 12
Formation energy from the elements   -0.269 eV/atom

a = 7.8879 Å, b = 4.6258 Å, c = 4.4926 Å
α = 89.65°, β = 55.78°, γ = 125.42°
With the nearest neighbours (Å) after each atom.
Positions (direct):
Zn1 0.0000 0.5000 0.5000  8 Hg 3.21-3.23, 4 Ca 3.26-3.28
Ca1 0.5000 0.5000 0.0000  8 Hg 3.21-3.23, 4 Zn 3.26-3.28
Hg1 0.0000 0.0000 0.0000  4 Zn 3.21-3.23, 4 Ca 3.21-3.23, 4 Hg 3.26-3.28
Hg2 0.5000 0.0000 0.5000  4 Ca 3.21-3.23, 4 Zn 3.21-3.23, 4 Hg 3.26-3.28


No. 3
Nd2PuFeN5: relaxed, PBE.

Space group   Cmc2_1, No. 36
E_form (uncorrected)   -0.859 eV/atom

a = 3.4608 Å, b = 7.1152 Å, c = 10.4206 Å
α = 90.00°, β = 90.00°, γ = 104.08°
With the nearest neighbours (Å) after each atom.
Positions (direct):
Nd1 0.8647 0.7294 0.8298  7 N 2.52-2.73
Nd2 0.1090 0.2180 0.6835  6 N 2.53-2.67
Nd3 0.1353 0.2706 0.3298  7 N 2.52-2.73
Nd4 0.8910 0.7820 0.1835  6 N 2.53-2.67
Pu1 0.8052 0.6103 0.5253  6 N 2.10-2.27
Pu2 0.1948 0.3897 0.0253  6 N 2.10-2.27
Fe1 0.5359 0.0718 0.9393  4 N 1.78-1.95
Fe2 0.4641 0.9282 0.4393  4 N 1.78-1.95
N1 0.3466 0.6931 0.0088  1 Pu 2.10
N2 0.6722 0.3444 0.8895  1 Fe 1.95
N3 0.4915 0.9830 0.7791  1 Fe 1.78
N4 0.2912 0.5825 0.6616  2 Pu 2.25
N5 0.9689 0.9378 0.5070  2 Fe 1.87
N6 0.6534 0.3069 0.5088  1 Pu 2.10
N7 0.3278 0.6556 0.3895  1 Fe 1.95
N8 0.5085 0.0170 0.2791  1 Fe 1.78
N9 0.7088 0.4175 0.1616  2 Pu 2.25
N10 0.0311 0.0622 0.0070  2 Fe 1.87


No. 4
Ca3Tm2ZrAs6: relaxed, PBE.

Space group   C2/m, No. 12
Formation energy from the elements   -1.195 eV/atom

a = 7.0522 Å, b = 7.0522 Å, c = 7.2597 Å
α = 99.31°, β = 99.31°, γ = 119.96°
With the nearest neighbours (Å) after each atom.
Positions (direct):
Ca1 0.1691 0.8309 0.5000  6 As 2.97-3.03
Ca2 0.8309 0.1691 0.5000  6 As 2.97-3.03
Ca3 0.5000 0.5000 0.5000  6 As 2.97-3.05
Tm1 0.3337 0.6663 0.0000  6 As 2.86
Tm2 0.6663 0.3337 0.0000  6 As 2.86
Zr1 0.0000 0.0000 0.0000  6 As 2.78
As1 0.9235 0.5996 0.7700  1 Zr 2.78, 2 Tm 2.86, 3 Ca 2.97-3.03
As2 0.7537 0.7537 0.2308  1 Zr 2.78, 2 Tm 2.86, 3 Ca 2.98-3.05
As3 0.0765 0.4004 0.2300  1 Zr 2.78, 2 Tm 2.86, 3 Ca 2.97-3.03
As4 0.5996 0.9235 0.7700  1 Zr 2.78, 2 Tm 2.86, 3 Ca 2.97-3.03
As5 0.2463 0.2463 0.7692  1 Zr 2.78, 2 Tm 2.86, 3 Ca 2.98-3.05
As6 0.4004 0.0765 0.2300  1 Zr 2.78, 2 Tm 2.86, 3 Ca 2.97-3.03


No. 5
Li15TlIn4: relaxed, PBE.

Space group   P4/mmm, No. 123
Formation energy from the elements   -0.193 eV/atom

a = 4.0610 Å, b = 4.0610 Å, c = 22.8300 Å
α = 90.00°, β = 90.00°, γ = 90.00°
With the nearest neighbours (Å) after each atom.
Positions (direct):
Li1 0.5000 0.5000 0.0000  4 Tl 2.87, 8 Li 3.06
Li2 0.5000 0.5000 0.2002  4 In 2.87, 8 Li 3.05
Li3 0.5000 0.5000 0.4001  4 In 2.87, 8 Li 3.05-3.06
Li4 0.5000 0.5000 0.5999  4 In 2.87, 8 Li 3.05-3.06
Li5 0.5000 0.5000 0.7998  4 In 2.87, 8 Li 3.05
Li6 0.5000 0.0000 0.1005  8 Li 2.87-3.06, 2 In 3.05, 2 Tl 3.06
Li7 0.5000 0.0000 0.3000  8 Li 2.87-3.06, 4 In 3.05-3.06
Li8 0.5000 0.0000 0.5000  8 Li 2.87-3.05, 4 In 3.05
Li9 0.5000 0.0000 0.7000  8 Li 2.87-3.06, 4 In 3.05-3.06
Li10 0.5000 0.0000 0.8995  8 Li 2.87-3.06, 2 In 3.05, 2 Tl 3.06
Li11 0.0000 0.5000 0.1005  8 Li 2.87-3.06, 2 In 3.05, 2 Tl 3.06
Li12 0.0000 0.5000 0.3000  8 Li 2.87-3.06, 4 In 3.05-3.06
Li13 0.0000 0.5000 0.5000  8 Li 2.87-3.05, 4 In 3.05
Li14 0.0000 0.5000 0.7000  8 Li 2.87-3.06, 4 In 3.05-3.06
Li15 0.0000 0.5000 0.8995  8 Li 2.87-3.06, 2 In 3.05, 2 Tl 3.06
Tl1 0.0000 0.0000 0.0000  12 Li 2.87-3.06
In1 0.0000 0.0000 0.2001  12 Li 2.87-3.05
In2 0.0000 0.0000 0.4000  12 Li 2.87-3.06
In3 0.0000 0.0000 0.6000  12 Li 2.87-3.06
In4 0.0000 0.0000 0.7999  12 Li 2.87-3.05


No. 6
Cs2NpRhS4: relaxed, PBE.

Space group   Fddd, No. 70
E_form (uncorrected)   -0.829 eV/atom

a = 6.3758 Å, b = 8.0188 Å, c = 13.0464 Å
α = 84.43°, β = 75.86°, γ = 66.57°
With the nearest neighbours (Å) after each atom.
Positions (direct):
Cs1 0.1794 0.0000 0.6412  6 S 3.62-4.06
Cs2 0.8206 0.0000 0.3588  6 S 3.62-4.06
Cs3 0.5706 0.5000 0.8588  6 S 3.62-4.06
Cs4 0.9294 0.5000 0.1412  6 S 3.62-4.06
Np1 0.7500 0.5000 0.5000  4 S 2.53
Np2 0.0000 0.0000 0.0000  4 S 2.53
Rh1 0.2500 0.5000 0.5000  4 S 2.34
Rh2 0.5000 0.0000 0.0000  4 S 2.34
S1 0.3304 0.7991 0.0858  1 Rh 2.34, 1 Np 2.53
S2 0.2154 0.2009 0.9142  1 Rh 2.34, 1 Np 2.53
S3 0.8704 0.7991 0.9142  1 Rh 2.34, 1 Np 2.53
S4 0.5838 0.2009 0.0858  1 Rh 2.34, 1 Np 2.53
S5 0.4196 0.7009 0.4142  1 Rh 2.34, 1 Np 2.53
S6 0.5346 0.2991 0.5858  1 Rh 2.34, 1 Np 2.53
S7 0.8796 0.7009 0.5858  1 Rh 2.34, 1 Np 2.53
S8 0.1662 0.2991 0.4142  1 Rh 2.34, 1 Np 2.53


no.,Fermi-level density of states (states/eV/cell)
1,4.50
2,1.88
3,18.65
4,5.90
5,6.55
6,19.27